A relaxed LiNbHg2 crystal. Source: Alexandria via LeMat-Bulk, functional GGA-PBE.

Lattice parameters (Å, degrees): 3.0010 3.0010 31.8382 90.00 90.00 120.00
Space group R-3m (No. 166, hexagonal axes)
One atom of each set of equivalent atoms:
Li1 0.0000 0.0000 0.0000 x3
Nb1 0.0000 0.0000 0.5000 x3
Hg1 0.0000 0.0000 0.4060 x6

Calculated values
Its formation energy is 0.297 eV/atom.

A relaxed MgGeO3 crystal. Source: Alexandria via LeMat-Bulk, functional GGA-PBE.

Lattice parameters (Å, degrees): 5.0124 5.0124 13.9219 90.00 90.00 120.00
Space group R-3 (No. 148, hexagonal axes)
One atom of each set of equivalent atoms:
Mg1 0.0000 0.0000 0.1410 x6
Ge1 0.0000 0.0000 0.3467 x6
O1 0.0181 0.3764 0.9224 x18

Calculated values
The value obtained for the uncorrected formation energy is -2123 meV/atom.